Compound: Cs2PaTlSe4
Source: the Alexandria database
Functional: PBE-GGA
Structure: relaxed

Structure (CIF):
```
data_Cs2PaTlSe4
_cell_length_a 8.129
_cell_length_b 4.427
_cell_length_c 8.566
_cell_angle_alpha 90.00
_cell_angle_beta 107.06
_cell_angle_gamma 90.00
_symmetry_space_group_name_H-M 'P 1 2/m 1'
_symmetry_Int_Tables_number 10
loop_
_symmetry_equiv_pos_as_xyz
'x,y,z'
'-x,-y,-z'
'-x,y,-z'
'x,-y,z'
loop_
_atom_site_label
_atom_site_type_symbol
_atom_site_fract_x
_atom_site_fract_y
_atom_site_fract_z
Cs1 Cs 0.000 0.000 0.000
Cs2 Cs 0.500 0.500 0.000
Pa1 Pa 0.000 0.500 0.500
Tl1 Tl 0.500 0.000 0.500
Se1 Se 0.195 0.000 0.683
Se2 Se 0.215 0.500 0.312
```

The uncorrected formation energy comes out at -1.193 eV per atom. The magnetization is 0.00 μB/cell. The volume is 36.836 Å³/atom. The crystal system is monoclinic.